# 1
LaH3Pd | PBE | relaxed

Cell and atoms, written as CIF:
```
data_LaH3Pd
_space_group_name_H-M_alt 'P 63/m m c'
_space_group_IT_number 194
_space_group_name_Hall '-P 6c 2c'
_cell_length_a 4.3387
_cell_length_b 4.3387
_cell_length_c 7.2619
_cell_angle_alpha 90.00
_cell_angle_beta 90.00
_cell_angle_gamma 120.00
loop_
_atom_site_label
_atom_site_type_symbol
_atom_site_fract_x
_atom_site_fract_y
_atom_site_fract_z
_atom_site_occupancy
La1 La 0.3333 0.6667 0.2500 1
H1 H 0.0000 0.0000 0.2500 1
H2 H 0.3333 0.6667 0.6035 1
Pd1 Pd 0.0000 0.0000 0.0000 1
```

Values from the calculation:
**Energy**: -4.4110 eV per atom
**Theoretical density**: 6.97 Mg/m³

***

# 2
LaHPd2 | PBE | relaxed

Cell and atoms, written as CIF:
```
data_LaHPd2
_space_group_name_H-M_alt 'I -4 2 d'
_space_group_IT_number 122
_space_group_name_Hall 'I -4 2bw'
_cell_length_a 5.782
_cell_length_b 5.782
_cell_length_c 8.172
_cell_angle_alpha 90.00
_cell_angle_beta 90.00
_cell_angle_gamma 90.00
loop_
_atom_site_label
_atom_site_type_symbol
_atom_site_fract_x
_atom_site_fract_y
_atom_site_fract_z
_atom_site_occupancy
La1 La 0.000 0.000 0.000 1
H1 H 0.000 0.000 0.500 1
Pd1 Pd 0.001 0.750 0.625 1
```

Values from the calculation:
**Energy**: -5.1708 eV per atom
**Excess energy over the best structure of this formula in the dataset**: 0 meV per atom
**Theoretical density**: 8.58 Mg/m³

***

# 3
LaHPd2 | PBE | relaxed

Cell and atoms, written as CIF:
```
data_LaHPd2
_space_group_name_H-M_alt 'F m -3 m'
_space_group_IT_number 225
_space_group_name_Hall '-F 4 2 3'
_cell_length_a 6.637
_cell_length_b 6.637
_cell_length_c 6.637
_cell_angle_alpha 90.00
_cell_angle_beta 90.00
_cell_angle_gamma 90.00
loop_
_atom_site_label
_atom_site_type_symbol
_atom_site_fract_x
_atom_site_fract_y
_atom_site_fract_z
_atom_site_occupancy
La1 La 0.000 0.000 0.000 1
H1 H 0.000 0.000 0.500 1
Pd1 Pd 0.250 0.250 0.250 1
```

Values from the calculation:
**Energy**: -4.6743 eV per atom
**Excess energy over the best structure of this formula in the dataset**: 496 meV per atom
**Theoretical density**: 8.02 Mg/m³

***

# 4
LaH3Pd | PBE | relaxed

Cell and atoms, written as CIF:
```
data_LaH3Pd
_space_group_name_H-M_alt 'I -4 m 2'
_space_group_IT_number 119
_space_group_name_Hall 'I -4 -2'
_cell_length_a 4.029
_cell_length_b 4.029
_cell_length_c 15.865
_cell_angle_alpha 90.00
_cell_angle_beta 90.00
_cell_angle_gamma 90.00
loop_
_atom_site_label
_atom_site_type_symbol
_atom_site_fract_x
_atom_site_fract_y
_atom_site_fract_z
_atom_site_occupancy
La1 La 0.000 0.000 0.000 1
La2 La 0.000 0.500 0.250 1
H1 H 0.000 0.000 0.350 1
H2 H 0.000 0.396 0.106 1
Pd1 Pd 0.000 0.500 0.651 1
```

Values from the calculation:
**Energy**: -4.1881 eV per atom
**Theoretical density**: 6.40 Mg/m³